Below is a geometry-optimized Li6FeO4F2 structure, with properties calculated at the GGA+U level.

Lattice parameters (Å, degrees): 5.4916 5.5361 5.6230 62.55 63.51 62.80
Each line ends with the local moment (μB).
Fractional positions:
Li (0.0900, 0.6898, 0.4764)  0.00
Li (0.5015, 0.9125, 0.2530)  0.01
Li (0.9100, 0.3102, 0.5236)  0.00
Li (0.7221, 0.4959, 0.0645)  0.00
Li (0.2779, 0.5041, 0.9355)  0.00
Li (0.4985, 0.0875, 0.7470)  0.01
O (0.8978, 0.6627, 0.2092)  0.03
O (0.1022, 0.3373, 0.7908)  0.03
O (0.6512, 0.2067, 0.9202)  0.04
O (0.3488, 0.7933, 0.0798)  0.04
F (0.7811, 0.1231, 0.3883)  0.04
F (0.2189, 0.8769, 0.6117)  0.04
Fe (0.0000, 0.0000, 0.0000)  3.72

Summary:
Its symmetry is No. 2. For the total energy, the calculation gives -0.37663 Ry/atom.